1.
Ho8Tm2Cd | Alexandria | PBE-GGA | optimized geometry; energy above the most stable polymorph in this dataset = 15 meV per atom; formation energy from the elements = -0.02 eV per formula unit; Fermi-level density of states = 1.362 states/eV per atom; space group = No. 2
1.0
6.024 0.000 0.000
-1.021 5.949 0.000
-0.971 -0.168 9.150
Ho Tm Cd
8 2 1
direct
0.049 0.094 0.179
0.134 0.275 0.544
0.230 0.458 0.910
0.410 0.819 0.638
0.590 0.181 0.362
0.770 0.542 0.090
0.866 0.725 0.456
0.951 0.906 0.821
0.313 0.638 0.270
0.687 0.362 0.730
0.500 0.000 0.000

=====

2.
In2SbW | Alexandria | PBE-GGA | optimized geometry; Fermi-level density of states = 0.549 states/eV per atom; formation energy without anion corrections = 580 meV/atom; space group = No. 166
1.0
3.145 0.000 0.000
-1.573 2.724 0.000
0.000 0.000 31.011
In Sb W
6 3 3
direct
0.000 0.000 0.242
0.000 0.000 0.758
0.333 0.667 0.424
0.333 0.667 0.909
0.667 0.333 0.091
0.667 0.333 0.576
0.000 0.000 0.000
0.333 0.667 0.667
0.667 0.333 0.333
0.000 0.000 0.500
0.333 0.667 0.167
0.667 0.333 0.833

=====

3.
KNa2PtF8 | Alexandria | PBE-GGA | optimized geometry; Fermi-level density of states = 0.919 states/eV per atom; formation energy without anion corrections = -2041 meV/atom; space group = No. 2
1.0
4.928 0.000 0.000
-0.208 5.013 0.000
-0.004 -0.009 7.670
K Na Pt F
1 2 1 8
direct
0.000 0.000 0.000
0.500 0.500 0.259
0.500 0.500 0.741
0.000 0.000 0.500
0.139 0.776 0.313
0.140 0.777 0.687
0.326 0.236 0.500
0.480 0.268 0.000
0.520 0.732 0.000
0.674 0.764 0.500
0.860 0.223 0.313
0.861 0.224 0.687

=====

Repeat the third record exactly.
KNa2PtF8 | Alexandria | PBE-GGA | optimized geometry; Fermi-level density of states = 0.919 states/eV per atom; formation energy without anion corrections = -2041 meV/atom; space group = No. 2
1.0
4.928 0.000 0.000
-0.208 5.013 0.000
-0.004 -0.009 7.670
K Na Pt F
1 2 1 8
direct
0.000 0.000 0.000
0.500 0.500 0.259
0.500 0.500 0.741
0.000 0.000 0.500
0.139 0.776 0.313
0.140 0.777 0.687
0.326 0.236 0.500
0.480 0.268 0.000
0.520 0.732 0.000
0.674 0.764 0.500
0.860 0.223 0.313
0.861 0.224 0.687